No. 1
Density functional theory data (PBE+U) for a relaxed NpFeBi2O6 crystal.

Structure (POSCAR):
```
NpFeBi2O6
1.0
6.304 0.000 0.172
0.000 5.701 0.000
0.301 0.000 8.270
O Fe Bi Np
12 2 4 2
direct
0.235 0.253 0.420
0.102 0.495 0.768
0.398 0.995 0.732
0.265 0.753 0.080
0.762 0.255 0.581
0.602 0.005 0.268
0.738 0.755 0.919
0.262 0.245 0.081
0.765 0.747 0.580
0.898 0.505 0.232
0.735 0.247 0.920
0.238 0.745 0.419
0.000 0.500 0.500
0.500 0.000 0.000
0.556 0.504 0.753
0.944 0.004 0.747
0.056 0.996 0.253
0.444 0.496 0.247
0.000 0.500 0.000
0.500 0.000 0.500
```

Output
* symmetry: P2_1/c
* D(E_F): 7.1 states/eV/f.u.
* VASP energy: -146.14 eV/cell

No. 2
Density functional theory data (PBE+U) for a relaxed NpFeBiO6 crystal.

Structure (POSCAR):
```
NpFeBiO6
1.0
-0.935 -3.170 -4.304
1.466 -2.213 4.733
-9.653 -0.741 2.644
Bi O Fe Np
2 12 2 2
direct
0.000 0.000 0.500
0.000 0.000 0.000
0.640 0.997 0.360
0.644 0.640 0.640
0.356 0.360 0.360
0.360 0.356 0.860
0.003 0.644 0.360
0.644 0.003 0.860
0.997 0.640 0.860
0.360 0.003 0.640
0.003 0.360 0.140
0.640 0.644 0.140
0.997 0.356 0.640
0.356 0.997 0.140
0.333 0.667 0.250
0.667 0.333 0.750
0.667 0.333 0.250
0.333 0.667 0.750
```

Output
* symmetry: P-31c
* VASP energy: -140.07 eV/cell

No. 3
Density functional theory data (PBE+U) for a relaxed NpFeBi2O8 crystal.

Structure (POSCAR):
```
NpFeBi2O8
1.0
5.104 -0.090 -0.003
-0.068 5.106 -0.006
0.004 0.008 6.823
O Bi Np Fe
8 2 1 1
direct
0.276 0.277 0.500
0.177 0.824 0.240
0.823 0.176 0.240
0.724 0.723 0.500
0.177 0.824 0.760
0.823 0.176 0.760
0.281 0.282 0.000
0.719 0.718 0.000
0.500 0.500 0.263
0.500 0.500 0.737
0.000 0.000 0.000
0.000 0.000 0.500
```

Output
* symmetry: Cmmm
* D(E_F): 5.1 states/eV/f.u.
* VASP energy: -86.25 eV/cell

No. 4
Density functional theory data (PBE+U) for a relaxed FeBiO2 crystal.

Structure (POSCAR):
```
FeBiO2
1.0
5.362 0.000 0.000
0.000 5.362 0.000
2.681 2.681 4.652
Bi Fe O
2 2 4
direct
0.000 0.000 0.000
0.750 0.250 0.500
0.250 0.750 0.500
0.500 0.500 0.000
0.237 0.625 0.250
0.513 0.125 0.250
0.875 0.763 0.750
0.375 0.487 0.750
```

Output
* symmetry: I-42d
* D(E_F): 1.9 states/eV/f.u.
* VASP energy: -45.27 eV/cell

No. 5
Density functional theory data (PBE+U) for a relaxed Fe3BiO crystal.

Structure (POSCAR):
```
Fe3BiO
1.0
5.170 0.000 0.000
0.000 5.170 0.000
0.000 0.000 5.170
Fe Bi O
3 1 1
direct
0.500 0.000 0.000
0.000 0.500 0.000
0.000 0.000 0.500
0.000 0.000 0.000
0.500 0.500 0.500
```

Output
* symmetry: Pm-3m
* D(E_F): 5.1 states/eV/f.u.
* E above lowest polymorph: 802 kJ/mol of formula units

No. 6
Density functional theory data (PBE+U) for a relaxed FeBi3O6 crystal.

Structure (POSCAR):
```
FeBi3O6
1.0
5.656 0.000 0.000
0.000 7.294 -1.639
0.000 0.030 7.476
O Bi Fe
12 6 2
direct
0.669 0.580 0.098
0.177 0.783 0.217
0.169 0.420 0.902
0.208 0.363 0.326
0.169 0.098 0.580
0.677 0.217 0.783
0.208 0.674 0.637
0.663 0.953 0.047
0.669 0.902 0.420
0.708 0.637 0.674
0.708 0.326 0.363
0.163 0.047 0.953
0.447 0.398 0.602
0.968 0.082 0.304
0.468 0.304 0.082
0.468 0.918 0.696
0.947 0.602 0.398
0.968 0.696 0.918
0.008 0.191 0.809
0.508 0.809 0.191
```

Output
* symmetry: Cmc2_1
* D(E_F): 0.0 states/eV/f.u.
* VASP energy: -119.06 eV/cell

No. 7
Density functional theory data (PBE+U) for a relaxed Fe2Bi5O12 crystal.

Structure (POSCAR):
```
Fe2Bi5O12
1.0
5.769 0.000 -2.098
-0.953 6.676 -2.620
-0.741 0.619 6.943
Bi O Fe
5 12 2
direct
0.685 0.351 0.371
0.313 0.159 0.626
0.315 0.649 0.629
0.687 0.841 0.374
0.000 0.500 0.000
0.998 0.192 0.995
0.628 0.435 0.729
0.564 0.911 0.667
0.500 0.186 0.999
0.897 0.089 0.333
0.002 0.808 0.005
0.372 0.565 0.271
0.500 0.814 0.001
0.436 0.089 0.333
0.103 0.911 0.667
0.900 0.565 0.271
0.100 0.435 0.729
0.763 0.000 0.000
0.237 0.000 0.000
```

Output
* symmetry: C2/m
* D(E_F): 9.8 states/eV/f.u.
* VASP energy: -112.60 eV/cell

No. 8
Density functional theory data (PBE+U) for a relaxed FeBiO3 crystal.

Structure (POSCAR):
```
FeBiO3
1.0
7.887 0.000 0.000
0.000 3.951 0.020
0.000 0.078 3.955
O Bi Fe
6 2 2
direct
0.500 0.500 0.500
0.750 0.978 0.563
0.750 0.439 0.023
0.250 0.561 0.977
0.000 0.500 0.500
0.250 0.022 0.437
0.500 0.000 0.000
0.000 0.000 0.000
0.750 0.483 0.517
0.250 0.517 0.483
```

Output
* symmetry: Cmcm
* D(E_F): 0.3 states/eV/f.u.
* VASP energy: -59.97 eV/cell

| no. | total magnetic moment (μB per atom) |
| --- | --- |
| 1 | 0.64 |
| 2 | 0.67 |
| 3 | 0.42 |
| 4 | 1.22 |
| 5 | 2.20 |
| 6 | 0.50 |
| 7 | 0.48 |
| 8 | 1.00 |